No. 1
LiAl2Pt after structural relaxation, computed with GGA-PBE.

Cell lengths 3.269, 3.269, 5.509 Å; angles 90.00, 90.00, 90.00 degrees
Positions (direct):
Al: 0.000 0.000 0.973
Al: 0.500 0.500 0.267
Li: 0.000 0.000 0.504
Pt: 0.500 0.500 0.757

Calculated values
Energy relative to the elements (eV/atom): -0.58
Space group: No. 99
Size of the total moment (μB per cell): 0.00

=====

No. 2
Tl2ZnAu after structural relaxation, computed with GGA-PBE.

Cell lengths 4.283, 4.090, 5.957 Å; angles 68.94, 90.00, 90.00 degrees
Positions (direct):
Au: 0.500 0.559 0.762
Tl: 0.000 0.968 0.936
Tl: 0.500 0.280 0.321
Zn: 0.000 0.693 0.481

Calculated values
E above lowest polymorph (eV per formula unit): 0.07
Energy relative to the elements (eV/atom): 0.01
Space group: No. 6
Size of the total moment (μB per cell): 0.00

=====

No. 3
Tb2PuF11 after structural relaxation, computed with GGA-PBE.

Cell lengths 8.124, 8.599, 8.599 Å; angles 74.32, 61.81, 61.81 degrees
Last column: magnetic moment on the atom in μB.
Positions (direct):
Tb: 0.636 0.681 0.319  0.00
Tb: 0.364 0.319 0.681  0.00
Tb: 0.864 0.181 0.819  0.00
Tb: 0.136 0.819 0.181  0.00
Pu: 0.750 0.750 0.750  3.19
Pu: 0.250 0.250 0.250  3.19
F: 0.651 0.706 0.574  -0.02
F: 0.349 0.294 0.426  -0.02
F: 0.069 0.574 0.706  -0.02
F: 0.849 0.926 0.794  -0.02
F: 0.931 0.426 0.294  -0.02
F: 0.151 0.074 0.206  -0.02
F: 0.431 0.794 0.926  -0.02
F: 0.569 0.206 0.074  -0.02
F: 0.500 0.500 0.500  0.00
F: 0.000 0.000 0.000  0.00
F: 0.873 0.775 0.225  -0.01
F: 0.127 0.225 0.775  -0.01
F: 0.627 0.275 0.725  -0.01
F: 0.373 0.725 0.275  -0.01
F: 0.445 0.981 0.319  -0.02
F: 0.555 0.019 0.681  -0.02
F: 0.255 0.319 0.981  -0.02
F: 0.055 0.181 0.519  -0.02
F: 0.745 0.681 0.019  -0.02
F: 0.945 0.819 0.481  -0.02
F: 0.245 0.519 0.181  -0.02
F: 0.755 0.481 0.819  -0.02

Calculated values
Energy relative to the elements, uncorrected (meV per atom): -3629.7
Space group: No. 72
Size of the total moment (μB per cell): 6.00

=====

No. 4
SrHgW2Au after structural relaxation, computed with GGA-PBE.

Cell lengths 5.018, 5.304, 5.018 Å; angles 90.00, 90.00, 90.00 degrees
Last column: magnetic moment on the atom in μB.
Positions (direct):
Sr: 0.000 0.000 0.000  0.02
Au: 0.000 0.500 0.000  0.02
Hg: 0.500 0.500 0.500  -0.02
W: 0.000 0.000 0.500  0.82
W: 0.500 0.000 0.000  1.24

Calculated values
Energy relative to the elements (eV/atom): 3.01
Space group: No. 123
Size of the total moment (μB per cell): 2.70

=====

No. 5
BiP2Pb after structural relaxation, computed with GGA-PBE.

Cell lengths 5.067, 5.067, 5.067 Å; angles 60.00, 60.00, 60.00 degrees
Positions (direct):
Pb: 0.000 0.000 0.000
P: 0.250 0.250 0.250
P: 0.750 0.750 0.750
Bi: 0.500 0.500 0.500

Calculated values
E above lowest polymorph (eV per formula unit): 1.11
Energy relative to the elements (eV/atom): 0.44
Space group: No. 225
Size of the total moment (μB per cell): 0.00

=====

No. 6
TaIn2Ni9 after structural relaxation, computed with GGA-PBE.

Cell lengths 3.712, 3.712, 11.164 Å; angles 90.00, 90.00, 90.00 degrees
Positions (direct):
Ta: 0.000 0.000 0.000
In: 0.000 0.000 0.332
In: 0.000 0.000 0.668
Ni: 0.500 0.500 0.000
Ni: 0.500 0.500 0.331
Ni: 0.500 0.500 0.669
Ni: 0.500 0.000 0.159
Ni: 0.500 0.000 0.500
Ni: 0.500 0.000 0.841
Ni: 0.000 0.500 0.159
Ni: 0.000 0.500 0.500
Ni: 0.000 0.500 0.841

Calculated values
Energy relative to the elements (eV/atom): -0.19
Space group: No. 123
Size of the total moment (μB per cell): 0.04

=====

No. 7
Nd2ErTmTe5 after structural relaxation, computed with GGA-PBE.

Cell lengths 5.490, 5.490, 11.471 Å; angles 90.00, 90.00, 90.00 degrees
Last column: magnetic moment on the atom in μB.
Positions (direct):
Nd: 0.500 0.500 0.334  0.10
Nd: 0.500 0.500 0.666  0.10
Er: 0.000 0.000 0.000  0.01
Tm: 0.000 0.000 0.500  0.02
Te: 0.000 0.500 0.500  0.00
Te: 0.500 0.000 0.500  0.00
Te: 0.000 0.000 0.755  0.00
Te: 0.000 0.000 0.245  0.00
Te: 0.500 0.500 0.000  0.01

Calculated values
Energy relative to the elements, uncorrected (meV per atom): -801.7
Space group: No. 123
Size of the total moment (μB per cell): 0.46

=====

No. 8
GaH3Au after structural relaxation, computed with GGA-PBE.

Cell lengths 3.723, 3.723, 3.723 Å; angles 90.00, 90.00, 90.00 degrees
Positions (direct):
H: 0.000 0.500 0.000
H: 0.000 0.000 0.500
H: 0.500 0.000 0.000
Au: 0.500 0.500 0.500
Ga: 0.000 0.000 0.000

Calculated values
E above lowest polymorph (eV per formula unit): 1.76
Space group: No. 221
Size of the total moment (μB per cell): 0.00

=====

No. 9
BaTlSnSe3 after structural relaxation, computed with GGA-PBE.

Cell lengths 4.267, 8.590, 11.715 Å; angles 102.92, 90.00, 90.00 degrees
Positions (direct):
Ba: 0.750 0.806 0.779
Ba: 0.250 0.194 0.221
Tl: 0.250 0.194 0.604
Tl: 0.750 0.806 0.396
Sn: 0.250 0.690 0.094
Sn: 0.750 0.310 0.906
Se: 0.250 0.831 0.579
Se: 0.750 0.902 0.073
Se: 0.750 0.453 0.135
Se: 0.750 0.169 0.421
Se: 0.250 0.547 0.865
Se: 0.250 0.098 0.927

Calculated values
Energy relative to the elements, uncorrected (meV per atom): -850.2
Space group: No. 11
Size of the total moment (μB per cell): 0.00

=====

No. 10
BaYAgSn after structural relaxation, computed with GGA-PBE.

Cell lengths 5.586, 5.586, 5.586 Å; angles 60.00, 60.00, 60.00 degrees
Positions (direct):
Y: 0.750 0.750 0.750
Ba: 0.250 0.250 0.250
Ag: 0.500 0.500 0.500
Sn: 0.000 0.000 0.000

Calculated values
Energy relative to the elements (eV/atom): -0.39
Space group: No. 216
Size of the total moment (μB per cell): 0.00

=====

No. 11
Sb2Pd5S after structural relaxation, computed with GGA-PBE.

Cell lengths 3.656, 7.484, 12.849 Å; angles 90.00, 90.00, 104.14 degrees
Positions (direct):
Sb: 0.874 0.748 0.406
Sb: 0.874 0.748 0.094
Sb: 0.126 0.252 0.594
Sb: 0.126 0.252 0.906
Pd: 0.949 0.898 0.906
Pd: 0.949 0.898 0.594
Pd: 0.245 0.489 0.417
Pd: 0.245 0.489 0.083
Pd: 0.735 0.469 0.250
Pd: 0.265 0.531 0.750
Pd: 0.755 0.511 0.583
Pd: 0.755 0.511 0.917
Pd: 0.051 0.102 0.094
Pd: 0.051 0.102 0.406
S: 0.872 0.744 0.750
S: 0.128 0.256 0.250

Calculated values
Energy relative to the elements, uncorrected (meV per atom): -200.3
Space group: No. 63
Size of the total moment (μB per cell): 0.00

=====

No. 12
LaPdS2Cl after structural relaxation, computed with GGA-PBE.

Cell lengths 4.821, 4.821, 4.683 Å; angles 90.00, 90.00, 90.00 degrees
Positions (direct):
S: 0.000 0.500 0.000
S: 0.500 0.000 0.000
Cl: 0.000 0.000 0.500
Pd: 0.000 0.000 0.000
La: 0.500 0.500 0.500

Calculated values
E above lowest polymorph (eV per formula unit): 0.00
Energy relative to the elements, uncorrected (meV per atom): -1040.7
Space group: No. 123
Size of the total moment (μB per cell): 0.00

=====

No. 13
Sb2PdRu2 after structural relaxation, computed with GGA-PBE.

Cell lengths 7.509, 7.509, 3.110 Å; angles 90.00, 90.00, 90.00 degrees
Positions (direct):
Sb: 0.161 0.661 0.500
Sb: 0.661 0.839 0.500
Sb: 0.839 0.339 0.500
Sb: 0.339 0.161 0.500
Pd: 0.000 0.000 0.000
Pd: 0.500 0.500 0.000
Ru: 0.362 0.862 0.000
Ru: 0.862 0.638 0.000
Ru: 0.638 0.138 0.000
Ru: 0.138 0.362 0.000

Calculated values
E above lowest polymorph (eV per formula unit): 0.00
Energy relative to the elements, uncorrected (meV per atom): -23.3
Space group: No. 127
Size of the total moment (μB per cell): 0.00

=====

No. 14
LiCoAg2 after structural relaxation, computed with GGA-PBE.

Cell lengths 9.151, 9.151, 9.151 Å; angles 17.60, 17.60, 17.60 degrees
Last column: magnetic moment on the atom in μB.
Positions (direct):
Ag: 0.999 0.999 0.999  -0.02
Ag: 0.501 0.501 0.501  -0.02
Co: 0.250 0.250 0.250  1.67
Li: 0.750 0.750 0.750  0.00

Calculated values
Energy relative to the elements (eV/atom): 0.21
Space group: No. 166
Size of the total moment (μB per cell): 1.53

=====

No. 15
TaGa2S after structural relaxation, computed with GGA-PBE.

Cell lengths 7.515, 7.515, 5.883 Å; angles 50.30, 50.30, 90.00 degrees
Positions (direct):
S: 0.500 0.500 0.000
S: 0.250 0.750 0.500
Ga: 0.622 0.125 0.250
Ga: 0.128 0.625 0.250
Ga: 0.375 0.378 0.750
Ga: 0.875 0.872 0.750
Ta: 0.000 0.000 0.000
Ta: 0.750 0.250 0.500

Calculated values
Energy relative to the elements, uncorrected (meV per atom): 253.1
Space group: No. 122
Size of the total moment (μB per cell): 0.00

=====

No. 16
TlHgI2N after structural relaxation, computed with GGA-PBE.

Cell lengths 6.239, 6.239, 4.483 Å; angles 90.00, 90.00, 90.00 degrees
Last column: magnetic moment on the atom in μB.
Positions (direct):
I: 0.000 0.500 0.000  0.07
I: 0.500 0.000 0.000  0.07
Tl: 0.000 0.000 0.000  -0.03
Hg: 0.500 0.500 0.500  0.01
N: 0.000 0.000 0.500  1.11

Calculated values
E above lowest polymorph (eV per formula unit): 1.20
Energy relative to the elements, uncorrected (meV per atom): 745.4
Space group: No. 123
Size of the total moment (μB per cell): 1.81

=====

No. 17
Na12Cl5O3 after structural relaxation, computed with GGA-PBE.

Cell lengths 14.163, 14.163, 14.163 Å; angles 109.47, 109.47, 109.47 degrees
Positions (direct):
O: 0.750 0.375 0.125
O: 0.875 0.750 0.125
O: 0.375 0.750 0.625
O: 0.250 0.125 0.375
O: 0.875 0.125 0.250
O: 0.375 0.625 0.250
O: 0.625 0.375 0.750
O: 0.125 0.875 0.750
O: 0.750 0.875 0.625
O: 0.625 0.250 0.375
O: 0.125 0.250 0.875
O: 0.250 0.625 0.875
Cl: 0.125 0.375 0.250
Cl: 0.000 0.500 0.000
Cl: 0.000 0.000 0.000
Cl: 0.375 0.250 0.125
Cl: 0.500 0.000 0.500
Cl: 0.500 0.500 0.000
Cl: 0.125 0.750 0.375
Cl: 0.750 0.125 0.875
Cl: 0.750 0.625 0.375
Cl: 0.375 0.125 0.750
Cl: 0.625 0.875 0.250
Cl: 0.500 0.500 0.500
Cl: 0.500 0.000 0.000
Cl: 0.000 0.000 0.500
Cl: 0.250 0.375 0.625
Cl: 0.250 0.875 0.125
Cl: 0.000 0.500 0.500
Cl: 0.875 0.250 0.625
Cl: 0.625 0.750 0.875
Cl: 0.875 0.625 0.750
Na: 0.637 0.193 0.002
Na: 0.366 0.502 0.309
Na: 0.998 0.307 0.363
Na: 0.502 0.137 0.193
Na: 0.443 0.637 0.634
Na: 0.998 0.691 0.134
Na: 0.366 0.863 0.557
Na: 0.191 0.057 0.193
Na: 0.691 0.998 0.634
Na: 0.637 0.443 0.134
Na: 0.863 0.498 0.307
Na: 0.866 0.809 0.002
Na: 0.193 0.637 0.502
Na: 0.307 0.309 0.943
Na: 0.943 0.809 0.307
Na: 0.557 0.193 0.691
Na: 0.943 0.134 0.137
Na: 0.498 0.634 0.191
Na: 0.866 0.057 0.363
Na: 0.193 0.557 0.191
Na: 0.307 0.998 0.863
Na: 0.691 0.693 0.557
Na: 0.809 0.866 0.502
Na: 0.863 0.366 0.057
Na: 0.309 0.307 0.443
Na: 0.191 0.134 0.498
Na: 0.137 0.634 0.943
Na: 0.134 0.943 0.637
Na: 0.693 0.002 0.137
Na: 0.807 0.443 0.809
Na: 0.502 0.366 0.809
Na: 0.443 0.807 0.309
Na: 0.057 0.866 0.863
Na: 0.057 0.191 0.693
Na: 0.807 0.363 0.498
Na: 0.134 0.191 0.998
Na: 0.693 0.691 0.057
Na: 0.309 0.002 0.366
Na: 0.363 0.557 0.866
Na: 0.137 0.502 0.693
Na: 0.809 0.943 0.807
Na: 0.634 0.137 0.443
Na: 0.498 0.863 0.807
Na: 0.002 0.309 0.866
Na: 0.557 0.363 0.366
Na: 0.002 0.693 0.637
Na: 0.634 0.498 0.691
Na: 0.363 0.807 0.998

Calculated values
Energy relative to the elements, uncorrected (meV per atom): -1258.5
Space group: No. 230
Size of the total moment (μB per cell): 0.00

=====

No. 18
Sm3Y2Hg2 after structural relaxation, computed with GGA-PBE.

Cell lengths 5.424, 5.421, 8.618 Å; angles 108.34, 90.02, 120.01 degrees
Positions (direct):
Sm: 0.500 0.000 0.000
Sm: 0.659 0.317 0.476
Sm: 0.341 0.683 0.524
Y: 0.925 0.850 0.274
Y: 0.075 0.150 0.726
Hg: 0.788 0.576 0.863
Hg: 0.212 0.424 0.137

Calculated values
E above lowest polymorph (eV per formula unit): 0.00
Energy relative to the elements (eV/atom): -0.25
Space group: No. 166
Size of the total moment (μB per cell): 0.00

=====

No. 19
Zn2IrAu2 after structural relaxation, computed with GGA-PBE.

Cell lengths 3.722, 3.722, 6.755 Å; angles 74.01, 74.01, 90.00 degrees
Positions (direct):
Zn: 0.406 0.406 0.188
Zn: 0.594 0.594 0.812
Ir: 0.000 0.000 0.000
Au: 0.750 0.250 0.500
Au: 0.250 0.750 0.500

Calculated values
E above lowest polymorph (eV per formula unit): 0.94
Energy relative to the elements (eV/atom): 0.30
Space group: No. 139
Size of the total moment (μB per cell): 0.00

=====

No. 20
KRuSe2 after structural relaxation, computed with GGA-PBE.

Cell lengths 5.913, 5.913, 5.913 Å; angles 145.09, 113.39, 77.47 degrees
Last column: magnetic moment on the atom in μB.
Positions (direct):
K: 0.750 0.250 0.500  0.00
Ru: 0.250 0.750 0.500  0.82
Se: 0.069 0.069 0.000  0.05
Se: 0.431 0.431 0.000  0.05

Calculated values
Energy relative to the elements, uncorrected (meV per atom): -240.8
Space group: No. 71
Size of the total moment (μB per cell): 1.05

=====

No. 21
K3Pa3PdS8 after structural relaxation, computed with GGA-PBE.

Cell lengths 8.239, 7.879, 8.576 Å; angles 115.20, 90.00, 121.52 degrees
Last column: magnetic moment on the atom in μB.
Positions (direct):
K: 0.000 0.000 0.000  0.00
K: 0.000 0.500 0.000  0.00
K: 0.500 0.500 0.000  0.00
Pa: 0.500 0.000 0.500  0.78
Pa: 0.500 0.500 0.500  0.70
Pa: 0.000 0.500 0.500  0.70
Pd: 0.000 0.000 0.500  -0.11
S: 0.263 0.525 0.294  -0.02
S: 0.737 0.475 0.706  -0.02
S: 0.783 0.566 0.323  -0.03
S: 0.217 0.434 0.677  -0.03
S: 0.746 0.046 0.291  -0.03
S: 0.254 0.954 0.709  -0.03
S: 0.300 0.046 0.291  -0.03
S: 0.700 0.954 0.709  -0.03

Calculated values
Energy relative to the elements, uncorrected (meV per atom): -1349.3
Space group: No. 12
Size of the total moment (μB per cell): 2.17